Record 1
First-principles (PBE-GGA) data for an optimized crystal structure of CsNa2CaAg, as listed in Alexandria via LeMat-Bulk.

The structure belongs to space group P4/mmm (No. 123); the cell edges are 6.1488, 6.1488 and 5.8980 Å and the angles 90.00°, 90.00° and 90.00°. The inequivalent atoms are Cs at (0.0000, 0.0000, 0.0000), Na at (0.0000, 0.5000, 0.5000), Ca at (0.5000, 0.5000, 0.0000) and Ag at (0.5000, 0.5000, 0.5000).

Its total energy is -7.99 eV per cell. As for the energy of formation from the pure elements: 0.07 eV per atom.

Record 2
First-principles (PBE-GGA) data for an optimized crystal structure of LaSm3Rh8, as listed in Alexandria via LeMat-Bulk.

The structure belongs to space group Cm (No. 8); the cell edges are 9.3475, 5.4047 and 9.3580 Å and the angles 90.00°, 109.34° and 90.00°. The inequivalent atoms are La at (0.0000, 0.0000, 0.0000), Sm at (0.0003, 0.5000, 0.5010), Sm at (0.3750, 0.5000, 0.6242), Sm at (0.3757, 0.0000, 0.1260), Rh at (0.1871, 0.2500, 0.8106), Rh at (0.1877, 0.0000, 0.5626), Rh at (0.1880, 0.5000, 0.0633), Rh at (0.1885, 0.2504, 0.3147), Rh at (0.4370, 0.0000, 0.8107) and Rh at (0.4381, 0.5000, 0.3148).

Its total energy is -172.37 eV per cell. As for the energy of formation from the pure elements: -0.69 eV per atom.

Record 3
First-principles (PBE-GGA) data for an optimized crystal structure of AlGaAgHg, as listed in Alexandria via LeMat-Bulk.

The structure belongs to space group F-43m (No. 216); the cell edges are 6.8097, 6.8097 and 6.8097 Å and the angles 90.00°, 90.00° and 90.00°. The inequivalent atoms are Al at (0.0000, 0.0000, 0.0000), Ga at (0.2500, 0.2500, 0.2500), Ag at (0.0000, 0.0000, 0.5000) and Hg at (0.2500, 0.2500, 0.7500).

Its total energy is -37.52 eV per cell. As for the energy of formation from the pure elements: 0.14 eV per atom.